[1]
Below is a geometry-optimized NdMg9Cd3 structure, with properties calculated at the PBE level.

abc: 5.9306 14.2325 7.7145
angles: 90.00 112.16 90.00
Last column: nearest neighbours and their distance in Å.
Space group C2/m (No. 12)
Asymmetric unit:
Nd (0.0000, 0.0000, 0.0000)  14 Mg 3.53-3.86, 6 Cd 3.85-3.88
Mg (0.0000, 0.0000, 0.5000)  2 Cd 2.97, 8 Mg 2.97-3.11
Mg (0.1051, 0.3930, 0.2115)  3 Cd 2.93-2.95, 5 Mg 2.97-3.25
Mg (0.1757, 0.1760, 0.3483)  6 Mg 3.02-3.29, 3 Cd 3.07-3.11
Cd (0.0000, 0.5000, 0.5000)  10 Mg 2.95-3.11
Cd (0.2500, 0.2500, 0.0000)  8 Mg 2.93-3.10, 2 Cd 2.97

Formation energy   -129 meV per atom



[2]
Below is a geometry-optimized TlTcNi2 structure, with properties calculated at the PBE level.

abc: 3.1737 3.1737 5.8855
angles: 90.00 90.00 90.00
Last column: nearest neighbours and their distance in Å.
Space group P4/mmm (No. 123)
Asymmetric unit:
Tl (0.0000, 0.0000, 0.0000)  8 Ni 2.81, 2 Tc 2.94
Tc (0.0000, 0.0000, 0.5000)  8 Ni 2.57
Ni (0.5000, 0.5000, 0.2880)  1 Ni 2.50, 4 Tc 2.57

Formation energy   349 meV per atom
Energy above the lowest structure with this stoichiometry   0 meV/atom



[3]
Below is a geometry-optimized TcAg2Ir structure, with properties calculated at the PBE level.

abc: 2.7637 2.7637 28.9390
angles: 90.00 90.00 120.00
Last column: nearest neighbours and their distance in Å.
Space group R-3m (No. 166, hexagonal axes)
Asymmetric unit:
Tc (0.0000, 0.0000, 0.0000)  6 Tc 2.76, 6 Ag 2.88
Ag (0.0000, 0.0000, 0.2504)  6 Ag 2.76, 3 Tc 2.88, 3 Ir 2.90
Ir (0.0000, 0.0000, 0.5000)  6 Ir 2.76, 6 Ag 2.90

Formation energy   488 meV per atom
Energy above the lowest structure with this stoichiometry   321 meV/atom



[4]
Below is a geometry-optimized Na2SrHg structure, with properties calculated at the PBE level.

abc: 4.7673 4.7673 25.1860
angles: 90.00 90.00 90.00
Last column: nearest neighbours and their distance in Å.
Space group I-42d (No. 122)
Asymmetric unit:
Na (0.2138, 0.2500, 0.1250)  2 Na 3.14
Sr (0.0000, 0.0000, 0.5000)  4 Hg 3.37, 4 Na 3.63
Hg (0.0000, 0.0000, 0.0000)  4 Sr 3.37, 4 Na 3.52

Formation energy   -114 meV per atom



[5]
Below is a geometry-optimized Pr2Ni3Sb4Ir structure, with properties calculated at the PBE level.

abc: 4.5204 4.5204 10.1610
angles: 90.00 90.00 90.00
Last column: nearest neighbours and their distance in Å.
Space group P-4m2 (No. 115)
Asymmetric unit:
Pr (0.0000, 0.5000, 0.2428)  6 Ni 3.35-3.49, 2 Ir 3.35, 8 Sb 3.38-3.46
Ni (0.0000, 0.0000, 0.0000)  4 Sb 2.64
Ni (0.0000, 0.5000, 0.6201)  5 Sb 2.50-2.57
Sb (0.0000, 0.0000, 0.5000)  4 Ni 2.57
Sb (0.0000, 0.5000, 0.8663)  3 Ni 2.50-2.64, 2 Ir 2.64
Sb (0.5000, 0.5000, 0.5000)  4 Ni 2.57
Ir (0.5000, 0.5000, 0.0000)  4 Sb 2.64



[6]
Below is a geometry-optimized MgOsPb2 structure, with properties calculated at the PBE level.

abc: 10.1362 10.1362 5.3055
angles: 90.00 90.00 90.00
Last column: nearest neighbours and their distance in Å.
Space group I4_1/amd (No. 141, origin choice 2)
Asymmetric unit:
Mg (0.0000, 0.2500, 0.3750)  2 Os 2.65
Os (0.0000, 0.2500, 0.8750)  4 Pb 2.62, 2 Mg 2.65
Pb (0.0000, 0.0000, 0.0000)  2 Os 2.62

Formation energy   412 meV per atom



[7]
Below is a geometry-optimized Tm3Pu2Co4 structure, with properties calculated at the PBE level.

abc: 10.6045 3.9315 8.5908
angles: 90.00 100.71 90.00
Last column: nearest neighbours and their distance in Å.
Space group C2/m (No. 12)
Asymmetric unit:
Tm (0.0000, 0.0000, 0.0000)  4 Co 2.95
Tm (0.1237, 0.5000, 0.3854)  6 Co 2.88-3.09
Pu (0.1768, 0.5000, 0.7828)  5 Co 2.47-2.56
Co (0.0858, 0.0000, 0.6186)  1 Co 2.47, 2 Pu 2.51
Co (0.2084, 0.5000, 0.0856)  3 Pu 2.47-2.56, 2 Co 2.70

Formation energy   -164 meV per atom



[8]
Below is a geometry-optimized Cs2CaIrI6 structure, with properties calculated at the PBE level.

abc: 8.3701 8.3701 11.8170
angles: 90.00 90.00 90.00
Last column: nearest neighbours and their distance in Å.
Space group I4/mmm (No. 139)
Asymmetric unit:
Cs (0.0000, 0.5000, 0.2500)  12 I 4.19
Ca (0.0000, 0.0000, 0.0000)  6 I 3.15
Ir (0.0000, 0.0000, 0.5000)  6 I 2.76-2.77
I (0.0000, 0.0000, 0.2663)  1 Ir 2.76
I (0.2341, 0.2341, 0.5000)  1 Ir 2.77



[9]
Below is a geometry-optimized SrZn2Cl6 structure, with properties calculated at the PBE level.

abc: 13.2284 12.3344 6.9235
angles: 90.00 104.16 90.00
Last column: nearest neighbours and their distance in Å.
Space group C2/c (No. 15)
Asymmetric unit:
Sr (0.0000, 0.1266, 0.2500)  6 Cl 2.85-3.04
Zn (0.1982, 0.4254, 0.2652)  4 Cl 2.26-2.33
Cl (0.1201, 0.0677, 0.6515)  1 Zn 2.33
Cl (0.1356, 0.2697, 0.1107)  1 Zn 2.26
Cl (0.1428, 0.4288, 0.5580)  2 Zn 2.31-2.32

Energy above the lowest structure with this stoichiometry   0 meV/atom



[10]
Below is a geometry-optimized Na2PuHfTe4 structure, with properties calculated at the PBE level.

abc: 7.5044 4.2831 7.9993
angles: 90.00 107.77 90.00
Last column: nearest neighbours and their distance in Å.
Space group P2/m (No. 10)
Asymmetric unit:
Na (0.0000, 0.0000, 0.0000)  6 Te 3.31-3.32
Na (0.5000, 0.5000, 0.0000)  6 Te 3.16
Pu (0.0000, 0.5000, 0.5000)  6 Te 3.11-3.12
Hf (0.5000, 0.0000, 0.5000)  6 Te 2.94-2.96
Te (0.2629, 0.0000, 0.7324)  1 Hf 2.94, 2 Pu 3.11, 2 Na 3.16
Te (0.2760, 0.5000, 0.2764)  2 Hf 2.96, 1 Pu 3.12, 3 Na 3.16-3.31



[11]
Below is a geometry-optimized CsZnGa structure, with properties calculated at the PBE level.

abc: 4.2268 4.4772 12.8791
angles: 80.82 85.09 67.86
Last column: nearest neighbours and their distance in Å.
Space group P1 (No. 1)
Asymmetric unit:
Cs (0.0000, 0.0000, 0.0000)  3 Ga 3.62-3.67, 1 Zn 3.76
Cs (0.4889, 0.7307, 0.5973)  3 Ga 3.62-3.67, 1 Zn 3.76
Zn (0.6435, 0.6643, 0.2489)  4 Ga 2.61-2.84, 2 Zn 2.63-2.76
Zn (0.8456, 0.0643, 0.3481)  4 Ga 2.61-2.83, 2 Zn 2.63-2.76
Ga (0.1669, 0.4399, 0.3982)  4 Zn 2.61-2.84, 1 Ga 2.72
Ga (0.3221, 0.2894, 0.1991)  4 Zn 2.61-2.83, 1 Ga 2.72

Formation energy   2 meV per atom
Energy above the lowest structure with this stoichiometry   0 meV/atom



[12]
Below is a geometry-optimized NaAlZn2 structure, with properties calculated at the PBE level.

abc: 3.3555 3.3555 6.9008
angles: 90.00 90.00 90.00
Last column: nearest neighbours and their distance in Å.
Space group P4/mmm (No. 123)
Asymmetric unit:
Na (0.0000, 0.0000, 0.0000)  8 Zn 3.14, 4 Na 3.36, 2 Al 3.45
Al (0.0000, 0.0000, 0.5000)  8 Zn 2.75
Zn (0.5000, 0.5000, 0.2974)  4 Al 2.75, 1 Zn 2.80

Formation energy   91 meV per atom



no.,total magnetic moment (μB per atom),total DFT energy (no corrections) (eV per atom)
1,0.000,-1.81
2,0.095,-5.72
3,0.101,-5.74
4,0.000,-1.27
5,0.000,-5.84
6,0.000,-4.65
7,0.907,-8.00
8,0.000,-3.11
9,0.000,-3.27
10,0.728,-5.87
11,0.000,-1.72
12,0.000,-1.81